1.
# TmSc2Te4, relaxed, DFT GGA-PBE
# * energy relative to the lowest polymorph listed for this composition: 0.0 meV/atom
# * raw formation energy: -1.27 eV per atom
# * final energy: -5.5105 eV/atom
# * total magnetization: 0.00 Bohr magnetons per cell
data_TmSc2Te4
_chemical_formula_sum 'Tm2 Sc4 Te8'
_symmetry_space_group_name_H-M 'C 1 2/m 1'
_symmetry_Int_Tables_number 12
_cell_length_a 15.7329
_cell_length_b 4.1758
_cell_length_c 7.2795
_cell_angle_alpha 90.00
_cell_angle_beta 117.16
_cell_angle_gamma 90.00
loop_
_symmetry_equiv_pos_as_xyz
'x,y,z'
'-x,-y,-z'
'-x,y,-z'
'x,-y,z'
'x+1/2,y+1/2,z'
'-x+1/2,-y+1/2,-z'
'-x+1/2,y+1/2,-z'
'x+1/2,-y+1/2,z'
loop_
_atom_site_label
_atom_site_type_symbol
_atom_site_fract_x
_atom_site_fract_y
_atom_site_fract_z
Tm1 Tm 0.0000 0.0000 0.0000
Sc1 Sc 0.2467 0.5000 0.7257
Te1 Te 0.1230 0.0000 0.4609
Te2 Te 0.1331 0.5000 0.9651

2.
# Cs5Ga2Se5, relaxed, DFT GGA-PBE
# * raw formation energy: -0.93 eV per atom
# * final energy: -3.2404 eV/atom
# * total magnetization: 0.00 Bohr magnetons per cell
data_Cs5Ga2Se5
_chemical_formula_sum 'Cs10 Ga4 Se10'
_symmetry_space_group_name_H-M 'C 1 2/m 1'
_symmetry_Int_Tables_number 12
_cell_length_a 16.2820
_cell_length_b 4.7159
_cell_length_c 12.1437
_cell_angle_alpha 90.00
_cell_angle_beta 98.01
_cell_angle_gamma 90.00
loop_
_symmetry_equiv_pos_as_xyz
'x,y,z'
'-x,-y,-z'
'-x,y,-z'
'x,-y,z'
'x+1/2,y+1/2,z'
'-x+1/2,-y+1/2,-z'
'-x+1/2,y+1/2,-z'
'x+1/2,-y+1/2,z'
loop_
_atom_site_label
_atom_site_type_symbol
_atom_site_fract_x
_atom_site_fract_y
_atom_site_fract_z
Cs1 Cs 0.0000 0.0000 0.0000
Cs2 Cs 0.1471 0.0000 0.5870
Cs3 Cs 0.2159 0.5000 0.1311
Ga1 Ga 0.0228 0.5000 0.2958
Se1 Se 0.0000 0.5000 0.5000
Se2 Se 0.0999 0.0000 0.2836
Se3 Se 0.1102 0.5000 0.8300

3.
# Y3AlIn3, relaxed, DFT GGA-PBE
# * energy of formation: -0.46 eV per atom
# * final energy: -4.9376 eV/atom
# * total magnetization: 0.00 Bohr magnetons per cell
data_Y3AlIn3
_chemical_formula_sum 'Y12 Al4 In12'
_symmetry_space_group_name_H-M 'C 1 2/m 1'
_symmetry_Int_Tables_number 12
_cell_length_a 11.3625
_cell_length_b 4.5712
_cell_length_c 14.9719
_cell_angle_alpha 90.00
_cell_angle_beta 108.58
_cell_angle_gamma 90.00
loop_
_symmetry_equiv_pos_as_xyz
'x,y,z'
'-x,-y,-z'
'-x,y,-z'
'x,-y,z'
'x+1/2,y+1/2,z'
'-x+1/2,-y+1/2,-z'
'-x+1/2,y+1/2,-z'
'x+1/2,-y+1/2,z'
loop_
_atom_site_label
_atom_site_type_symbol
_atom_site_fract_x
_atom_site_fract_y
_atom_site_fract_z
Y1 Y 0.0220 0.0000 0.3788
Y2 Y 0.1042 0.0000 0.9232
Y3 Y 0.2336 0.0000 0.2261
Al1 Al 0.2339 0.5000 0.3764
In1 In 0.0121 0.5000 0.2294
In2 In 0.1185 0.5000 0.0755
In3 In 0.1416 0.5000 0.5409

4.
# LaTeI, relaxed, DFT GGA-PBE
# * energy relative to the lowest polymorph listed for this composition: 59.4 meV/atom
# * raw formation energy: -1.49 eV per atom
# * final energy: -4.6940 eV/atom
# * total magnetization: 0.00 Bohr magnetons per cell
data_LaTeI
_chemical_formula_sum 'La1 Te1 I1'
_symmetry_space_group_name_H-M 'P 3 m 1'
_symmetry_Int_Tables_number 156
_cell_length_a 4.6993
_cell_length_b 4.6993
_cell_length_c 7.2467
_cell_angle_alpha 90.00
_cell_angle_beta 90.00
_cell_angle_gamma 120.00
loop_
_symmetry_equiv_pos_as_xyz
'x,y,z'
'-y,x-y,z'
'-x+y,-x,z'
'-y,-x,z'
'-x+y,y,z'
'x,x-y,z'
loop_
_atom_site_label
_atom_site_type_symbol
_atom_site_fract_x
_atom_site_fract_y
_atom_site_fract_z
La1 La 0.0000 0.0000 0.0000
Te1 Te 0.3333 0.6667 0.2155
I1 I 0.6667 0.3333 0.7290

5.
# Zr3ZnNi8, relaxed, DFT GGA-PBE
# * energy of formation: -0.43 eV per atom
# * final energy: -6.5268 eV/atom
# * total magnetization: 0.00 Bohr magnetons per cell
data_Zr3ZnNi8
_chemical_formula_sum 'Zr9 Zn3 Ni24'
_symmetry_space_group_name_H-M 'R 3 m'
_symmetry_Int_Tables_number 160
_symmetry_space_group_name_Hall 'R 3 -2"'
_cell_length_a 4.8628
_cell_length_b 4.8628
_cell_length_c 23.9577
_cell_angle_alpha 90.00
_cell_angle_beta 90.00
_cell_angle_gamma 120.00
loop_
_atom_site_label
_atom_site_type_symbol
_atom_site_fract_x
_atom_site_fract_y
_atom_site_fract_z
Zr1 Zr 0.0000 0.0000 0.0000
Zr2 Zr 0.0000 0.0000 0.1275
Zr3 Zr 0.0000 0.0000 0.6121
Zn1 Zn 0.0000 0.0000 0.4905
Ni1 Ni 0.0000 0.0000 0.3093
Ni2 Ni 0.0000 0.0000 0.8094
Ni3 Ni 0.0032 0.5016 0.5591
Ni4 Ni 0.1673 0.3346 0.3918

6.
# Zn2CrCdW, relaxed, DFT GGA-PBE
# * energy of formation: 1.16 eV per atom
# * final energy: -4.0502 eV/atom
# * total magnetization: 1.79 Bohr magnetons per cell
data_Zn2CrCdW
_chemical_formula_sum 'Zn2 Cr1 Cd1 W1'
_symmetry_space_group_name_H-M 'P 4/m m m'
_symmetry_Int_Tables_number 123
_symmetry_space_group_name_Hall '-P 4 2'
_cell_length_a 4.9806
_cell_length_b 4.9806
_cell_length_c 4.5311
_cell_angle_alpha 90.00
_cell_angle_beta 90.00
_cell_angle_gamma 90.00
loop_
_atom_site_label
_atom_site_type_symbol
_atom_site_fract_x
_atom_site_fract_y
_atom_site_fract_z
Zn1 Zn 0.0000 0.5000 0.0000
Cr1 Cr 0.0000 0.0000 0.5000
Cd1 Cd 0.5000 0.5000 0.5000
W1 W 0.0000 0.0000 0.0000

7.
# RePF3, relaxed, DFT GGA-PBE
# * energy relative to the lowest polymorph listed for this composition: 0.0 meV/atom
# * raw formation energy: -0.14 eV per atom
# * final energy: -4.8306 eV/atom
# * total magnetization: 0.00 Bohr magnetons per cell
data_RePF3
_chemical_formula_sum 'Re1 P1 F3'
_symmetry_space_group_name_H-M 'P m -3 m'
_symmetry_Int_Tables_number 221
_symmetry_space_group_name_Hall '-P 4 2 3'
_cell_length_a 4.1274
_cell_length_b 4.1274
_cell_length_c 4.1274
_cell_angle_alpha 90.00
_cell_angle_beta 90.00
_cell_angle_gamma 90.00
loop_
_atom_site_label
_atom_site_type_symbol
_atom_site_fract_x
_atom_site_fract_y
_atom_site_fract_z
Re1 Re 0.0000 0.0000 0.0000
P1 P 0.5000 0.5000 0.5000
F1 F 0.0000 0.0000 0.5000

8.
# CaInPdPb, relaxed, DFT GGA-PBE
# * energy of formation: -0.35 eV per atom
# * final energy: -3.7629 eV/atom
# * total magnetization: 0.00 Bohr magnetons per cell
data_CaInPdPb
_chemical_formula_sum 'Ca4 In4 Pd4 Pb4'
_symmetry_space_group_name_H-M 'F -4 3 m'
_symmetry_Int_Tables_number 216
_symmetry_space_group_name_Hall 'F -4 2 3'
_cell_length_a 7.1849
_cell_length_b 7.1849
_cell_length_c 7.1849
_cell_angle_alpha 90.00
_cell_angle_beta 90.00
_cell_angle_gamma 90.00
loop_
_atom_site_label
_atom_site_type_symbol
_atom_site_fract_x
_atom_site_fract_y
_atom_site_fract_z
Ca1 Ca 0.0000 0.0000 0.0000
In1 In 0.2500 0.2500 0.7500
Pd1 Pd 0.0000 0.0000 0.5000
Pb1 Pb 0.2500 0.2500 0.2500